PmSi2Pt6: optimized geometry, GGA-PBE.

Lattice parameters (Å, degrees): 5.5783 5.5783 6.4011 90.00 90.00 120.00
Space group P6/mmm (No. 191)
One atom of each set of equivalent atoms:
1 Pm 0.0000 0.0000 0.0000 [1 per cell]
2 Si 0.3333 0.6667 0.5000 [2 per cell]
3 Pt 0.0000 0.5000 0.2221 [6 per cell]

Results
The calculation puts the uncorrected formation energy at -0.80 eV per atom.